[1]
GGA-PBE LaHgW, optimized geometry; energy above the lowest structure with this stoichiometry = 0.0000 eV/atom; electronic total energy = -5.496 eV per atom
1.0
-1.512 1.512 7.333
1.512 -1.512 7.333
1.512 1.512 -7.333
La Hg W
1 1 1
Cartesian
0.000 0.000 0.000
0.000 0.000 4.621
0.000 0.000 9.819

***

[2]
GGA-PBE LiTmNiAu, optimized geometry; electronic total energy = -4.281 eV per atom
1.0
0.000 3.289 3.289
3.289 0.000 3.289
3.289 3.289 0.000
Li Tm Ni Au
1 1 1 1
Cartesian
0.000 0.000 0.000
3.289 3.289 3.289
4.934 4.934 4.934
1.645 1.645 1.645

***

[3]
GGA-PBE K4Cd, optimized geometry; energy above the lowest structure with this stoichiometry = 0.0492 eV/atom; electronic total energy = -1.023 eV per atom
1.0
6.930 0.000 0.000
0.000 6.930 0.000
0.000 0.000 6.930
K Cd
4 1
Cartesian
0.000 0.000 0.000
0.000 3.465 3.465
3.465 0.000 3.465
3.465 3.465 0.000
3.465 3.465 3.465